A plane-wave DFT calculation with GGA-PBEsol was carried out for a relaxed Ca3MgAu crystal.

abc: 5.7917 5.7917 5.7917
angles: 90.00 90.00 90.00
With the nearest neighbours (Å) after each atom.
Fractional positions:
Ca 0.0000 0.0000 0.5000  2 Mg 2.90
Ca 0.0000 0.5000 0.0000  2 Mg 2.90
Ca 0.5000 0.0000 0.0000  2 Mg 2.90
Mg 0.0000 0.0000 0.0000  6 Ca 2.90
Au 0.5000 0.5000 0.5000  12 Ca 4.10

## Properties
Uncorrected energy   -9.72 eV/f.u.
SG   No. 221
Magnetic moment   0.0 μB/f.u.
DOS(E_F)   3.77 states/eV per cell
Calculated formation energy   464 meV per atom

***

A plane-wave DFT calculation with GGA-PBEsol was carried out for a relaxed TmTlRh2 crystal.

abc: 4.6180 4.6180 4.6180
angles: 60.00 60.00 60.00
With the nearest neighbours (Å) after each atom.
Fractional positions:
Tm 0.0000 0.0000 0.0000  8 Rh 2.83
Tl 0.5000 0.5000 0.5000  8 Rh 2.83
Rh 0.2500 0.2500 0.2500  4 Tl 2.83, 4 Tm 2.83
Rh 0.7500 0.7500 0.7500  4 Tl 2.83, 4 Tm 2.83

## Properties
Uncorrected energy   -26.16 eV/f.u.
SG   No. 225
Magnetic moment   0.0 μB/f.u.
DOS(E_F)   0.96 states/eV per cell
Calculated formation energy   -588 meV per atom

***

A plane-wave DFT calculation with GGA-PBEsol was carried out for a relaxed Ho2FeSi2 crystal.

abc: 5.5427 5.5427 9.8180
angles: 117.25 117.25 43.19
With the nearest neighbours (Å) after each atom.
Fractional positions:
Ho 0.0019 0.0019 0.1727  6 Si 2.84-3.07, 4 Fe 2.89-3.05
Ho 0.1891 0.1891 0.6080  6 Si 2.80-3.12
Ho 0.8109 0.8109 0.3920  6 Si 2.80-3.12
Ho 0.9981 0.9981 0.8273  6 Si 2.84-3.07, 4 Fe 2.89-3.05
Fe 0.2718 0.2718 0.1232  4 Si 2.30-2.41
Fe 0.7282 0.7282 0.8768  4 Si 2.30-2.41
Si 0.3456 0.3456 0.9360  3 Fe 2.30-2.31
Si 0.4993 0.4993 0.3722  1 Fe 2.41, 1 Si 2.50
Si 0.5007 0.5007 0.6278  1 Fe 2.41, 1 Si 2.50
Si 0.6544 0.6544 0.0640  3 Fe 2.30-2.31

## Properties
Uncorrected energy   -34.24 eV/f.u.
SG   No. 12
Magnetic moment   0.0 μB/f.u.
DOS(E_F)   5.66 states/eV per cell

***

A plane-wave DFT calculation with GGA-PBEsol was carried out for a relaxed Mn2AlAu crystal.

abc: 3.7773 3.7773 3.8825
angles: 90.00 90.00 90.00
With the nearest neighbours (Å) after each atom.
Fractional positions:
Mn 0.0000 0.5000 0.0000  4 Mn 2.67, 4 Al 2.71, 4 Au 2.71
Mn 0.5000 0.0000 0.0000  4 Mn 2.67, 4 Al 2.71, 4 Au 2.71
Al 0.0000 0.0000 0.5000  4 Au 2.67, 8 Mn 2.71
Au 0.5000 0.5000 0.5000  4 Al 2.67, 8 Mn 2.71

## Properties
Uncorrected energy   -27.83 eV/f.u.
SG   No. 123
Magnetic moment   5.8 μB/f.u.
Energy above the most stable polymorph in this dataset   0.018 eV/atom
DOS(E_F)   3.16 states/eV per cell
Calculated formation energy   -73 meV per atom

***

A plane-wave DFT calculation with GGA-PBEsol was carried out for a relaxed Sn2HgPt2 crystal.

abc: 7.6673 7.6673 7.6673
angles: 150.33 150.33 42.45
With the nearest neighbours (Å) after each atom.
Fractional positions:
Sn 0.1206 0.1206 0.0000  4 Pt 2.70
Sn 0.8794 0.8794 0.0000  4 Pt 2.70
Hg 0.5000 0.5000 0.0000  8 Sn 3.27
Pt 0.2500 0.7500 0.5000  4 Sn 2.70, 4 Pt 2.78
Pt 0.7500 0.2500 0.5000  4 Sn 2.70, 4 Pt 2.78

## Properties
Uncorrected energy   -23.94 eV/f.u.
SG   No. 139
Magnetic moment   0.0 μB/f.u.
DOS(E_F)   1.49 states/eV per cell
Calculated formation energy   -185 meV per atom

***

A plane-wave DFT calculation with GGA-PBEsol was carried out for a relaxed ZnAgRu2 crystal.

abc: 4.8119 4.8119 4.5786
angles: 101.57 101.57 32.85
With the nearest neighbours (Å) after each atom.
Fractional positions:
Zn 0.0000 0.0000 0.0000  6 Ru 2.64-2.81, 4 Ag 2.66, 2 Zn 2.72
Ag 0.5000 0.5000 0.5000  4 Zn 2.66, 2 Ag 2.72, 6 Ru 2.75-2.80
Ru 0.2589 0.2589 0.7669  6 Ru 2.57-2.77, 3 Zn 2.64-2.81, 3 Ag 2.75-2.80
Ru 0.7411 0.7411 0.2331  6 Ru 2.57-2.77, 3 Zn 2.64-2.81, 3 Ag 2.75-2.80

## Properties
Uncorrected energy   -23.95 eV/f.u.
SG   No. 12
Magnetic moment   0.0 μB/f.u.
DOS(E_F)   4.35 states/eV per cell
Calculated formation energy   322 meV per atom

***

A plane-wave DFT calculation with GGA-PBEsol was carried out for a relaxed GaTc2I2 crystal.

abc: 7.0664 7.0664 7.0664
angles: 144.94 144.94 50.43
With the nearest neighbours (Å) after each atom.
Fractional positions:
Ga 0.0000 0.0000 0.0000  8 I 3.48, 8 Tc 3.84
Tc 0.2500 0.7500 0.5000  4 I 2.57
Tc 0.7500 0.2500 0.5000  4 I 2.57
I 0.3632 0.3632 0.0000  4 Tc 2.57
I 0.6368 0.6368 0.0000  4 Tc 2.57

## Properties
Uncorrected energy   -25.83 eV/f.u.
SG   No. 139
Magnetic moment   0.0 μB/f.u.
DOS(E_F)   3.16 states/eV per cell

***

A plane-wave DFT calculation with GGA-PBEsol was carried out for a relaxed KTc2Ir crystal.

abc: 2.6718 3.7773 7.8399
angles: 90.00 90.00 90.00
With the nearest neighbours (Å) after each atom.
Fractional positions:
K 0.0000 0.0000 0.0000  2 K 2.67
Tc 0.0000 0.0000 0.5130  6 Tc 2.61-2.67, 4 Ir 2.65
Tc 0.5000 0.5000 0.3581  1 Ir 2.51, 6 Tc 2.61-2.67
Ir 0.5000 0.5000 0.6786  5 Tc 2.51-2.65, 2 Ir 2.67

## Properties
Uncorrected energy   -30.72 eV/f.u.
SG   No. 25
Magnetic moment   0.0 μB/f.u.
Energy above the most stable polymorph in this dataset   0.000 eV/atom
DOS(E_F)   3.48 states/eV per cell
Calculated formation energy   693 meV per atom

***

A plane-wave DFT calculation with GGA-PBEsol was carried out for a relaxed La3NbCr crystal.

abc: 5.5132 5.5132 5.5132
angles: 90.00 90.00 90.00
With the nearest neighbours (Å) after each atom.
Fractional positions:
La 0.0000 0.0000 0.5000  2 Nb 2.76
La 0.0000 0.5000 0.0000  2 Nb 2.76
La 0.5000 0.0000 0.0000  2 Nb 2.76
Nb 0.0000 0.0000 0.0000  6 La 2.76
Cr 0.5000 0.5000 0.5000  12 La 3.90

## Properties
Uncorrected energy   -32.95 eV/f.u.
SG   No. 221
Magnetic moment   4.9 μB/f.u.
Energy above the most stable polymorph in this dataset   0.000 eV/atom
DOS(E_F)   4.45 states/eV per cell
Calculated formation energy   830 meV per atom

***

A plane-wave DFT calculation with GGA-PBEsol was carried out for a relaxed SrCd2W crystal.

abc: 2.9352 2.9352 9.6717
angles: 90.00 90.00 90.00
With the nearest neighbours (Å) after each atom.
Fractional positions:
Sr 0.0000 0.0000 0.0000  4 Sr 2.94
Cd 0.5000 0.5000 0.2776  4 Cd 2.94, 4 W 2.99
Cd 0.5000 0.5000 0.7224  4 Cd 2.94, 4 W 2.99
W 0.0000 0.0000 0.5000  4 W 2.94, 8 Cd 2.99

## Properties
Uncorrected energy   -15.95 eV/f.u.
SG   No. 123
Magnetic moment   0.0 μB/f.u.
Energy above the most stable polymorph in this dataset   0.000 eV/atom
DOS(E_F)   2.77 states/eV per cell
Calculated formation energy   522 meV per atom

***

A plane-wave DFT calculation with GGA-PBEsol was carried out for a relaxed KZnGe2P crystal.

abc: 5.4310 5.4310 5.2046
angles: 90.00 90.00 90.00
With the nearest neighbours (Å) after each atom.
Fractional positions:
K 0.0000 0.0000 0.0000  2 P 2.60, 4 Ge 2.72
Zn 0.5000 0.5000 0.5000  8 Ge 3.76, 4 P 3.84
Ge 0.0000 0.5000 0.0000  2 K 2.72
Ge 0.5000 0.0000 0.0000  2 K 2.72
P 0.0000 0.0000 0.5000  2 K 2.60

## Properties
Uncorrected energy   -9.52 eV/f.u.
SG   No. 123
Magnetic moment   0.0 μB/f.u.
DOS(E_F)   5.20 states/eV per cell
Calculated formation energy   1773 meV per atom

***

A plane-wave DFT calculation with GGA-PBEsol was carried out for a relaxed Ta3MnB crystal.

abc: 4.4512 4.4512 4.4512
angles: 90.00 90.00 90.00
With the nearest neighbours (Å) after each atom.
Fractional positions:
Ta 0.0000 0.0000 0.5000  2 Mn 2.23
Ta 0.0000 0.5000 0.0000  2 Mn 2.23
Ta 0.5000 0.0000 0.0000  2 Mn 2.23
Mn 0.0000 0.0000 0.0000  6 Ta 2.23
B 0.5000 0.5000 0.5000  12 Ta 3.15

## Properties
Uncorrected energy   -46.95 eV/f.u.
SG   No. 221
Magnetic moment   0.0 μB/f.u.
DOS(E_F)   2.98 states/eV per cell
Calculated formation energy   1496 meV per atom